--- P ---
Below is a relaxed structure of Ta3Zn4, with properties calculated at the GGA-PBE level.

Lattice parameters (Å, degrees): 5.3613 5.3613 5.0197 90.00 90.00 120.00
With the nearest neighbours (Å) after each atom.
Space group P6/mmm (No. 191)
Symmetry-distinct sites (fractional):
Ta 0.0000 0.5000 0.0000 (multiplicity 3)  4 Ta 2.68, 8 Zn 2.95
Zn 0.0000 0.0000 0.2436 (multiplicity 2)  2 Zn 2.45-2.57
Zn 0.3333 0.6667 0.5000 (multiplicity 2)  6 Ta 2.95, 3 Zn 3.10



--- Q ---
Below is a relaxed structure of Ta3Zn4, with properties calculated at the GGA-PBE level.

Lattice parameters (Å, degrees): 2.8163 2.8163 28.3445 90.00 90.00 90.00
With the nearest neighbours (Å) after each atom.
Space group I4/mmm (No. 139)
Symmetry-distinct sites (fractional):
Ta 0.0000 0.0000 0.0000 (multiplicity 2)  4 Ta 2.82, 8 Zn 2.85
Ta 0.0000 0.0000 0.2919 (multiplicity 4)  8 Ta 2.82-3.10, 4 Zn 2.85
Zn 0.0000 0.0000 0.1362 (multiplicity 4)  8 Zn 2.70-2.82, 4 Ta 2.85
Zn 0.0000 0.0000 0.4281 (multiplicity 4)  8 Zn 2.70-2.82, 4 Ta 2.85



Most stable one: Q, least stable one: P.



--- P ---
Below is a relaxed structure of ZrTa2Zn2, with properties calculated at the GGA-PBE level.

Lattice parameters (Å, degrees): 7.3856 7.3856 3.2379 90.00 90.00 90.00
With the nearest neighbours (Å) after each atom.
Space group P4/mbm (No. 127)
Symmetry-distinct sites (fractional):
Zr 0.0000 0.0000 0.0000 (multiplicity 2)  4 Zn 2.95, 8 Ta 3.16, 2 Zr 3.24
Ta 0.1791 0.3209 0.5000 (multiplicity 4)  6 Zn 2.66-2.77
Zn 0.1188 0.6188 0.0000 (multiplicity 4)  1 Zn 2.48, 6 Ta 2.66-2.77



--- Q ---
Below is a relaxed structure of ZrTa2Zn2, with properties calculated at the GGA-PBE level.

Lattice parameters (Å, degrees): 3.9421 3.9421 12.4312 90.00 90.00 90.00
With the nearest neighbours (Å) after each atom.
Space group I4/mmm (No. 139)
Symmetry-distinct sites (fractional):
Zr 0.0000 0.0000 0.0000 (multiplicity 2)  8 Ta 3.06
Ta 0.0000 0.0000 0.3987 (multiplicity 4)  1 Ta 2.52, 4 Zn 2.70
Zn 0.0000 0.5000 0.2500 (multiplicity 4)  4 Ta 2.70, 4 Zn 2.79



Most stable one: P, least stable one: Q.



--- P ---
Below is a relaxed structure of ZrTa2, with properties calculated at the GGA-PBE level.

Lattice parameters (Å, degrees): 12.9188 2.9624 6.4692 90.00 104.04 90.00
With the nearest neighbours (Å) after each atom.
Space group Cm (No. 8)
Symmetry-distinct sites (fractional):
Zr 0.0000 0.0000 0.0000 (multiplicity 2)  5 Ta 2.82-2.99, 4 Zr 2.96-3.14
Zr 0.1749 0.5000 0.3472 (multiplicity 2)  7 Ta 2.95-3.26, 4 Zr 2.96-3.14
Ta 0.0518 0.0000 0.6007 (multiplicity 2)  3 Zr 2.82-2.95, 6 Ta 2.96-3.05
Ta 0.2249 0.5000 0.9239 (multiplicity 2)  8 Ta 2.87-3.08, 1 Zr 2.96
Ta 0.3388 0.0000 0.6688 (multiplicity 2)  5 Ta 2.77-2.96, 4 Zr 2.98-2.99
Ta 0.3878 0.0000 0.2747 (multiplicity 2)  7 Ta 2.77-3.08, 2 Zr 2.95



--- Q ---
Below is a relaxed structure of ZrTa2, with properties calculated at the GGA-PBE level.

Lattice parameters (Å, degrees): 6.5444 6.5444 5.7932 90.00 90.00 90.00
With the nearest neighbours (Å) after each atom.
Space group I4/mcm (No. 140)
Symmetry-distinct sites (fractional):
Zr 0.0000 0.0000 0.2500 (multiplicity 4)  8 Ta 2.86, 2 Zr 2.90
Ta 0.1571 0.3429 0.0000 (multiplicity 8)  4 Zr 2.86, 1 Ta 2.91



--- R ---
Below is a relaxed structure of ZrTa2, with properties calculated at the GGA-PBE level.

Lattice parameters (Å, degrees): 3.7903 3.7903 4.8138 90.00 90.00 90.00
With the nearest neighbours (Å) after each atom.
Space group P4/mmm (No. 123)
Symmetry-distinct sites (fractional):
Zr 0.0000 0.0000 0.0000 (multiplicity 1)  8 Ta 3.06
Ta 0.0000 0.5000 0.5000 (multiplicity 2)  4 Ta 2.68



Most stable one: P, least stable one: R.



--- P ---
Below is a relaxed structure of Zr4Ta5, with properties calculated at the GGA-PBE level.

Lattice parameters (Å, degrees): 10.3121 10.3121 3.4142 90.00 90.00 90.00
With the nearest neighbours (Å) after each atom.
Space group I4/mmm (No. 139)
Symmetry-distinct sites (fractional):
Zr 0.0000 0.3195 0.0000 (multiplicity 8)  4 Ta 2.89, 4 Zr 3.14
Ta 0.0000 0.0000 0.0000 (multiplicity 2)  8 Ta 2.95, 4 Zr 3.29
Ta 0.1647 0.1647 0.5000 (multiplicity 8)  4 Zr 2.89, 4 Ta 2.95-3.02



--- Q ---
Below is a relaxed structure of Zr4Ta5, with properties calculated at the GGA-PBE level.

Lattice parameters (Å, degrees): 8.5876 8.5876 5.7343 90.00 90.00 120.00
With the nearest neighbours (Å) after each atom.
Space group P6_3/mcm (No. 193)
Symmetry-distinct sites (fractional):
Zr 0.0000 0.0000 0.0000 (multiplicity 2)  8 Zr 2.87-2.96
Zr 0.0000 0.3017 0.2500 (multiplicity 6)  3 Ta 2.69-2.96, 2 Zr 2.96
Ta 0.0000 0.3852 0.7500 (multiplicity 6)  3 Zr 2.69-2.96
Ta 0.3333 0.6667 0.0000 (multiplicity 4)  8 Ta 2.87-3.03



Most stable one: P, least stable one: Q.



--- P ---
Below is a relaxed structure of Zr5Ta3, with properties calculated at the GGA-PBE level.

Lattice parameters (Å, degrees): 7.0606 9.7814 4.8563 90.00 90.00 90.00
With the nearest neighbours (Å) after each atom.
Space group Cmmm (No. 65)
Symmetry-distinct sites (fractional):
Zr 0.0000 0.0000 0.0000 (multiplicity 2)  8 Zr 3.02-3.10, 4 Ta 3.35
Zr 0.2279 0.5000 0.5000 (multiplicity 4)  6 Ta 2.91-3.04, 3 Zr 3.10-3.22
Zr 0.2500 0.2500 0.0000 (multiplicity 4)  6 Ta 3.00-3.02, 2 Zr 3.02
Ta 0.0000 0.2364 0.5000 (multiplicity 4)  10 Zr 3.00-3.35
Ta 0.0000 0.5000 0.0000 (multiplicity 2)  8 Zr 2.91-3.02



--- Q ---
Below is a relaxed structure of Zr5Ta3, with properties calculated at the GGA-PBE level.

Lattice parameters (Å, degrees): 8.3582 8.3582 5.7669 90.00 90.00 120.00
With the nearest neighbours (Å) after each atom.
Space group P6_3/mcm (No. 193)
Symmetry-distinct sites (fractional):
Zr 0.0000 0.2448 0.2500 (multiplicity 6)  5 Ta 2.91-3.16
Zr 0.3333 0.6667 0.0000 (multiplicity 4)  2 Zr 2.88, 6 Ta 2.94
Ta 0.0000 0.3988 0.7500 (multiplicity 6)  9 Zr 2.91-3.16



Most stable one: P, least stable one: Q.



--- P ---
Below is a relaxed structure of Zr3Ta5, with properties calculated at the GGA-PBE level.

Lattice parameters (Å, degrees): 8.3599 8.3599 5.4836 90.00 90.00 120.00
With the nearest neighbours (Å) after each atom.
Space group P6_3/mcm (No. 193)
Symmetry-distinct sites (fractional):
Zr 0.0000 0.3957 0.2500 (multiplicity 6)  8 Ta 2.86-3.19
Ta 0.0000 0.2009 0.7500 (multiplicity 6)  4 Zr 2.86-3.19, 2 Ta 2.91
Ta 0.3333 0.6667 0.0000 (multiplicity 4)  2 Ta 2.74, 6 Zr 2.91



--- Q ---
Below is a relaxed structure of Zr3Ta5, with properties calculated at the GGA-PBE level.

Lattice parameters (Å, degrees): 6.9196 9.5582 4.8194 90.00 90.00 90.00
With the nearest neighbours (Å) after each atom.
Space group Cmmm (No. 65)
Symmetry-distinct sites (fractional):
Zr 0.0000 0.0000 0.0000 (multiplicity 2)  8 Ta 2.95-3.11
Zr 0.0000 0.2387 0.5000 (multiplicity 4)  8 Ta 2.91-3.01
Ta 0.0000 0.5000 0.0000 (multiplicity 2)  8 Ta 2.84-2.95
Ta 0.2162 0.5000 0.5000 (multiplicity 4)  3 Ta 2.84-2.99, 6 Zr 2.91-3.11
Ta 0.2500 0.2500 0.0000 (multiplicity 4)  6 Zr 2.95-2.97, 2 Ta 2.95



Most stable one: Q, least stable one: P.